# TiMn4Be2 (GGA-PBE, relaxed)
# magnetic moment: 10.41 Bohr magnetons per cell
# SG: I4/mmm (139)
# total DFT energy (no corrections): -45.24 eV per cell
# energy relative to the elements: 969 meV/atom
data_TiMn4Be2
_symmetry_space_group_name_H-M 'P 1'
_symmetry_Int_Tables_number 1
_symmetry_space_group_name_Hall 'P 1'
_cell_length_a 4.284
_cell_length_b 4.284
_cell_length_c 6.518
_cell_angle_alpha 70.82
_cell_angle_beta 70.82
_cell_angle_gamma 90.00
loop_
_atom_site_label
_atom_site_fract_x
_atom_site_fract_y
_atom_site_fract_z
Ti1 0.000 0.000 0.000
Mn1 0.789 0.789 0.421
Mn2 0.000 0.500 0.000
Mn3 0.500 0.000 0.000
Mn4 0.211 0.211 0.579
Be1 0.590 0.590 0.820
Be2 0.410 0.410 0.180

---

# TiMnBe (GGA-PBE, relaxed)
# magnetic moment: 0.00 Bohr magnetons per cell
# SG: C2/m (12)
# total DFT energy (no corrections): -41.53 eV per cell
# energy relative to the elements: 8 meV/atom
data_TiMnBe
_symmetry_space_group_name_H-M 'P 1'
_symmetry_Int_Tables_number 1
_symmetry_space_group_name_Hall 'P 1'
_cell_length_a 4.067
_cell_length_b 4.067
_cell_length_c 4.903
_cell_angle_alpha 71.72
_cell_angle_beta 71.72
_cell_angle_gamma 76.62
loop_
_atom_site_label
_atom_site_fract_x
_atom_site_fract_y
_atom_site_fract_z
Be1 0.866 0.866 0.745
Mn1 0.287 0.713 0.000
Ti1 0.296 0.296 0.654
Be2 0.134 0.134 0.255
Ti2 0.704 0.704 0.346
Mn2 0.713 0.287 0.000

---

# TiMn4Be (GGA-PBE, relaxed)
# magnetic moment: 0.88 Bohr magnetons per cell
# SG: F-43m (216)
# total DFT energy (no corrections): -48.35 eV per cell
# energy relative to the elements: -8 meV/atom
data_TiMn4Be
_symmetry_space_group_name_H-M 'P 1'
_symmetry_Int_Tables_number 1
_symmetry_space_group_name_Hall 'P 1'
_cell_length_a 4.641
_cell_length_b 4.641
_cell_length_c 4.641
_cell_angle_alpha 60.00
_cell_angle_beta 60.00
_cell_angle_gamma 60.00
loop_
_atom_site_label
_atom_site_fract_x
_atom_site_fract_y
_atom_site_fract_z
Mn1 0.626 0.626 0.626
Mn2 0.122 0.626 0.626
Mn3 0.626 0.122 0.626
Mn4 0.626 0.626 0.122
Ti1 0.250 0.250 0.250
Be1 0.000 0.000 0.000